PBE+U PuGa2NiO8, optimized geometry; total magnetic moment = 1.99 μB/f.u.; uncorrected energy = -79.63 eV per formula unit; space-group type = I-4m2
1.0
5.728 0.408 0.000
-2.175 5.315 0.000
-1.777 -2.862 4.651
Pu Ga Ni O
1 2 1 8
Direct
0.250 0.750 0.500
0.750 0.250 0.500
0.500 0.500 0.000
0.000 0.000 0.000
0.352 0.044 0.308
0.310 0.509 0.199
0.310 0.111 0.801
0.736 0.044 0.692
0.889 0.690 0.199
0.956 0.264 0.308
0.956 0.648 0.692
0.491 0.690 0.801